# TePtBr2 (PBE, relaxed)
# Crystal system   orthorhombic
# Total energy   -0.0869 Ha/atom
data_TePtBr2
_cell_length_a 6.518
_cell_length_b 8.588
_cell_length_c 3.284
_cell_angle_alpha 90.00
_cell_angle_beta 90.00
_cell_angle_gamma 90.00
_space_group_name_H-M_alt 'C m m m'
_space_group_IT_number 65
_space_group_name_Hall '-C 2 2'
loop_
_atom_site_label
_atom_site_type_symbol
_atom_site_fract_x
_atom_site_fract_y
_atom_site_fract_z
Te1 Te 0.000 0.000 0.000
Pt1 Pt 0.000 0.500 0.000
Br1 Br 0.250 0.250 0.500